No. 1
SrPIN2 | Alexandria | GGA-PBE | relaxed; total magnetization = 4.49 μB per cell; density = 2.89 g/cm3; uncorrected energy = -3.3832 eV/atom; uncorrected formation energy = 808.2 kJ/mol of formula units
1.0
4.819 0.000 0.000
0.000 4.819 0.000
0.000 0.000 6.769
Sr P I N
1 1 1 2
direct
0.000 0.000 0.000
0.500 0.500 0.500
0.000 0.000 0.500
0.000 0.500 0.000
0.500 0.000 0.000

No. 2
Sr6P2I3N | Alexandria | GGA-PBE | relaxed; total magnetization = 0.00 μB per cell; density = 4.18 g/cm3; uncorrected energy = -4.1229 eV/atom; uncorrected formation energy = -1504.1 kJ/mol of formula units
1.0
3.779 -6.540 0.000
3.779 6.540 0.000
-2.516 0.000 7.903
Sr P I N
6 2 3 1
direct
0.061 0.365 0.184
0.243 0.243 0.815
0.365 0.061 0.184
0.635 0.939 0.816
0.757 0.757 0.185
0.939 0.635 0.816
0.333 0.667 0.000
0.667 0.333 0.000
0.169 0.831 0.500
0.500 0.500 0.500
0.831 0.169 0.500
0.000 0.000 0.000

No. 3
Sr8P3I3N | Alexandria | GGA-PBE | relaxed; total magnetization = 0.81 μB per cell; density = 3.71 g/cm3; uncorrected energy = -4.0241 eV/atom; uncorrected formation energy = -1708.0 kJ/mol of formula units
1.0
4.407 2.545 7.896
-4.407 2.545 7.896
0.000 -5.089 7.896
Sr P I N
8 3 3 1
direct
0.232 0.232 0.232
0.252 0.716 0.716
0.284 0.284 0.748
0.284 0.748 0.284
0.716 0.252 0.716
0.716 0.716 0.252
0.748 0.284 0.284
0.768 0.768 0.768
0.000 0.000 0.500
0.000 0.500 0.000
0.500 0.000 0.000
0.000 0.500 0.500
0.500 0.000 0.500
0.500 0.500 0.000
0.500 0.500 0.500

No. 4
Sr6PI3N2 | Alexandria | GGA-PBE | relaxed; total magnetization = 0.00 μB per cell; density = 4.46 g/cm3; uncorrected energy = -4.2505 eV/atom; uncorrected formation energy = -1370.5 kJ/mol of formula units
1.0
3.627 -6.279 0.000
3.627 6.279 0.000
-2.423 0.000 7.889
Sr P I N
6 1 3 2
direct
0.078 0.441 0.823
0.196 0.196 0.175
0.441 0.078 0.823
0.559 0.922 0.177
0.804 0.804 0.825
0.922 0.559 0.177
0.500 0.500 0.000
0.000 0.000 0.500
0.338 0.662 0.500
0.662 0.338 0.500
0.167 0.833 0.000
0.833 0.167 0.000

No. 5
SrPIN2 | Alexandria | GGA-PBE | relaxed; total magnetization = 0.93 μB per cell; density = 4.82 g/cm3; uncorrected energy = -4.2693 eV/atom; uncorrected formation energy = 380.7 kJ/mol of formula units
1.0
4.161 0.000 0.000
0.000 4.161 0.000
0.000 0.000 5.442
Sr P I N
1 1 1 2
direct
0.000 0.000 0.000
0.500 0.500 0.500
0.500 0.500 0.000
0.000 0.500 0.500
0.500 0.000 0.500

No. 6
TaPI2N | Alexandria | GGA-PBE | relaxed; total magnetization = 0.00 μB per cell; density = 6.46 g/cm3; uncorrected energy = -5.1252 eV/atom; uncorrected formation energy = 295.5 kJ/mol of formula units
1.0
5.633 0.000 0.000
0.000 5.633 0.000
0.000 0.000 3.887
Ta P I N
1 1 2 1
direct
0.000 0.000 0.000
0.500 0.500 0.500
0.000 0.500 0.000
0.500 0.000 0.000
0.000 0.000 0.500